Here is crystalline Ni4Ru3 at its relaxed geometry from Alexandria via LeMat-Bulk. Energies are from PBE-GGA.

Summary:
ΔE_f: 0.1050 eV/atom
Crystal system: tetragonal
Magnetic moment: 0.00 μB per cell
VASP energy: -0.52727 Ry/atom
Space-group type: I4/mmm, No. 139

Lattice parameters (Å, degrees): 12.5680 12.5680 12.5680 167.98 167.98 17.03
Fractional coordinates of all 7 atoms:
Ru (0.2878, 0.2878, 0.0000)
Ni (0.4289, 0.4289, 0.0000)
Ni (0.8608, 0.8608, 0.0000)
Ni (0.1392, 0.1392, 0.0000)
Ru (0.0000, 0.0000, 0.0000)
Ru (0.7122, 0.7122, 0.0000)
Ni (0.5711, 0.5711, 0.0000)

Here is crystalline NiRu at its relaxed geometry from Alexandria via LeMat-Bulk. Energies are from PBE-GGA.

Summary:
ΔE_f: 1.6102 eV/atom
Crystal system: cubic
Magnetic moment: 5.73 μB per cell
VASP energy: -0.43500 Ry/atom
Space-group type: Pm-3n, No. 223

Lattice parameters (Å, degrees): 6.4600 6.4600 6.4600 90.00 90.00 90.00
Site moments in Bohr magnetons follow the coordinates.
Fractional coordinates of all 12 atoms:
Ni (0.2500, 0.5000, 0.0000)  0.21
Ru (0.7500, 0.0000, 0.5000)  0.71
Ru (0.5000, 0.7500, 0.0000)  0.71
Ni (0.0000, 0.7500, 0.5000)  0.21
Ru (0.0000, 0.5000, 0.2500)  0.71
Ni (0.5000, 0.0000, 0.2500)  0.21
Ni (0.0000, 0.2500, 0.5000)  0.21
Ru (0.0000, 0.5000, 0.7500)  0.71
Ni (0.5000, 0.0000, 0.7500)  0.21
Ni (0.7500, 0.5000, 0.0000)  0.21
Ru (0.2500, 0.0000, 0.5000)  0.71
Ru (0.5000, 0.2500, 0.0000)  0.71

Here is crystalline NiRu at its relaxed geometry from Alexandria via LeMat-Bulk. Energies are from PBE-GGA.

Summary:
ΔE_f: 0.0776 eV/atom
Crystal system: tetragonal
Magnetic moment: 0.00 μB per cell
VASP energy: -0.54764 Ry/atom
Space-group type: I4_1/amd, No. 141

Lattice parameters (Å, degrees): 3.6423 4.5498 3.6420 66.40 90.01 113.60
Fractional coordinates of all 4 atoms:
Ru (0.7500, 0.5000, 0.7500)
Ni (0.2500, 0.4999, 0.2500)
Ni (0.0000, 0.0001, 0.0000)
Ru (0.5000, 0.0000, 0.5000)

Here is crystalline Ni3Ru at its relaxed geometry from Alexandria via LeMat-Bulk. Energies are from PBE-GGA.

Summary:
ΔE_f: 0.0966 eV/atom
Crystal system: orthorhombic
Magnetic moment: 0.00 μB per cell
VASP energy: -0.48203 Ry/atom
Space-group type: Pmmm, No. 47

Lattice parameters (Å, degrees): 2.5697 3.5802 5.0784 90.00 90.00 90.00
Fractional coordinates of all 4 atoms:
Ni (0.5000, 0.5000, 0.7500)
Ru (0.5000, 0.5000, 0.2500)
Ni (0.0000, 0.0000, 0.5032)
Ni (0.0000, 0.0000, 0.9968)

Here is crystalline Ni2Ru at its relaxed geometry from Alexandria via LeMat-Bulk. Energies are from PBE-GGA.

Summary:
ΔE_f: 0.4739 eV/atom
Crystal system: tetragonal
Magnetic moment: 0.00 μB per cell
VASP energy: -0.47570 Ry/atom
Space-group type: I4/mcm, No. 140

Lattice parameters (Å, degrees): 4.7098 4.7098 4.7098 105.18 105.18 118.45
Fractional coordinates of all 6 atoms:
Ni (0.6403, 0.8597, 0.5000)
Ru (0.7500, 0.7500, 0.0000)
Ni (0.1403, 0.6403, 0.7806)
Ni (0.3597, 0.1403, 0.5000)
Ni (0.8597, 0.3597, 0.2194)
Ru (0.2500, 0.2500, 0.0000)

Here is crystalline NiRu at its relaxed geometry from Alexandria via LeMat-Bulk. Energies are from PBE-GGA.

Summary:
ΔE_f: 0.1110 eV/atom
Crystal system: tetragonal
Magnetic moment: 0.00 μB per cell
VASP energy: -0.54519 Ry/atom
Space-group type: P4/nmm, No. 129

Lattice parameters (Å, degrees): 2.6492 2.6492 7.1401 90.00 90.00 90.00
Fractional coordinates of all 4 atoms:
Ru (0.2500, 0.2500, 0.6319)
Ru (0.7500, 0.7500, 0.3681)
Ni (0.7500, 0.7500, 0.8832)
Ni (0.2500, 0.2500, 0.1168)

Here is crystalline NiRu at its relaxed geometry from Alexandria via LeMat-Bulk. Energies are from PBE-GGA.

Summary:
ΔE_f: 0.1745 eV/atom
Crystal system: tetragonal
Magnetic moment: 0.00 μB per cell
VASP energy: -0.54052 Ry/atom
Space-group type: P4/mmm, No. 123

Lattice parameters (Å, degrees): 2.6158 2.6158 3.6513 90.00 90.00 90.00
Fractional coordinates of all 2 atoms:
Ru (0.0000, 0.0000, 0.0000)
Ni (0.5000, 0.5000, 0.5000)

Here is crystalline NiRu at its relaxed geometry from Alexandria via LeMat-Bulk. Energies are from PBE-GGA.

Summary:
ΔE_f: 1.5783 eV/atom
Crystal system: cubic
Magnetic moment: 0.00 μB per cell
VASP energy: -0.43734 Ry/atom
Space-group type: I-43m, No. 217

Lattice parameters (Å, degrees): 7.2004 7.2004 7.2004 90.00 90.00 90.00
Fractional coordinates of all 16 atoms:
Ru (0.6314, 0.3686, 0.6314)
Ni (0.6909, 0.3091, 0.3091)
Ru (0.6314, 0.6314, 0.3686)
Ni (0.3091, 0.3091, 0.6909)
Ru (0.8686, 0.1314, 0.1314)
Ni (0.1909, 0.1909, 0.1909)
Ru (0.3686, 0.3686, 0.3686)
Ni (0.8091, 0.1909, 0.8091)
Ru (0.3686, 0.6314, 0.6314)
Ni (0.8091, 0.8091, 0.1909)
Ru (0.8686, 0.8686, 0.8686)
Ni (0.3091, 0.6909, 0.3091)
Ru (0.1314, 0.1314, 0.8686)
Ni (0.6909, 0.6909, 0.6909)
Ru (0.1314, 0.8686, 0.1314)
Ni (0.1909, 0.8091, 0.8091)

Please write out number 7 again, unchanged.
Here is crystalline NiRu at its relaxed geometry from Alexandria via LeMat-Bulk. Energies are from PBE-GGA.

Summary:
ΔE_f: 0.1745 eV/atom
Crystal system: tetragonal
Magnetic moment: 0.00 μB per cell
VASP energy: -0.54052 Ry/atom
Space-group type: P4/mmm, No. 123

Lattice parameters (Å, degrees): 2.6158 2.6158 3.6513 90.00 90.00 90.00
Fractional coordinates of all 2 atoms:
Ru (0.0000, 0.0000, 0.0000)
Ni (0.5000, 0.5000, 0.5000)

Look up the ΔE_f of the second one. 1.6102 eV/atom

Copy entry 2 word for word.
Here is crystalline NiRu at its relaxed geometry from Alexandria via LeMat-Bulk. Energies are from PBE-GGA.

Summary:
ΔE_f: 1.6102 eV/atom
Crystal system: cubic
Magnetic moment: 5.73 μB per cell
VASP energy: -0.43500 Ry/atom
Space-group type: Pm-3n, No. 223

Lattice parameters (Å, degrees): 6.4600 6.4600 6.4600 90.00 90.00 90.00
Site moments in Bohr magnetons follow the coordinates.
Fractional coordinates of all 12 atoms:
Ni (0.2500, 0.5000, 0.0000)  0.21
Ru (0.7500, 0.0000, 0.5000)  0.71
Ru (0.5000, 0.7500, 0.0000)  0.71
Ni (0.0000, 0.7500, 0.5000)  0.21
Ru (0.0000, 0.5000, 0.2500)  0.71
Ni (0.5000, 0.0000, 0.2500)  0.21
Ni (0.0000, 0.2500, 0.5000)  0.21
Ru (0.0000, 0.5000, 0.7500)  0.71
Ni (0.5000, 0.0000, 0.7500)  0.21
Ni (0.7500, 0.5000, 0.0000)  0.21
Ru (0.2500, 0.0000, 0.5000)  0.71
Ru (0.5000, 0.2500, 0.0000)  0.71

Which of these has the lowest VASP energy? number 3